[1]
Rb2BaLaO | SCAN | PBEsol geometry

Summary:
theoretical density	4.0	g/cm3
DFT total energy	-132.22	eV per cell
space-group type	P4/mmm
total magnetization	0.5405	μB per atom

Unit cell a=5.1385 b=6.1468 c=6.1468 alpha=90.00 beta=90.00 gamma=90.00
Closest atoms and distances in Å follow each position.
Fractional positions:
La1 0.5000 0.5000 0.5000  8 Rb 4.01, 4 Ba 4.35
O1 0.0000 0.0000 0.0000  2 Ba 2.57
Ba1 0.5000 0.0000 0.0000  2 O 2.57
Rb1 0.0000 0.0000 0.5000  2 O 3.07
Rb2 0.0000 0.5000 0.0000  2 O 3.07

[2]
Ba3LaRu2O9 | SCAN | PBEsol geometry

Summary:
theoretical density	6.6	g/cm3
DFT total energy	-648.23	eV per cell
space-group type	P6_3/mmc
total magnetization	0.1964	μB per atom

Unit cell a=5.9185 b=5.9185 c=14.8792 alpha=90.00 beta=90.00 gamma=120.00
Closest atoms and distances in Å follow each position.
Fractional positions:
La1 0.0000 0.0000 0.5000  6 O 2.32
La2 0.0000 0.0000 0.0000  6 O 2.32
O1 0.4923 0.5077 0.2500  2 Ru 2.04
O2 0.4923 0.9845 0.2500  2 Ru 2.04
O3 0.6421 0.8211 0.4046  1 Ru 1.92
O4 0.6421 0.8211 0.0954  1 Ru 1.92
O5 0.8211 0.6421 0.9046  1 Ru 1.92
O6 0.1789 0.8211 0.4046  1 Ru 1.92
O7 0.1789 0.8211 0.0954  1 Ru 1.92
O8 0.5077 0.4923 0.7500  2 Ru 2.04
O9 0.3579 0.1789 0.5954  1 Ru 1.92
O10 0.0155 0.5077 0.2500  2 Ru 2.04
O11 0.1789 0.3579 0.4046  1 Ru 1.92
O12 0.3579 0.1789 0.9046  1 Ru 1.92
O13 0.1789 0.3579 0.0954  1 Ru 1.92
O14 0.9845 0.4923 0.7500  2 Ru 2.04
O15 0.8211 0.1789 0.9046  1 Ru 1.92
O16 0.5077 0.0155 0.7500  2 Ru 2.04
O17 0.8211 0.1789 0.5954  1 Ru 1.92
O18 0.8211 0.6421 0.5954  1 Ru 1.92
Ru1 0.3333 0.6667 0.1680  6 O 1.92-2.04
Ru2 0.6667 0.3333 0.8320  6 O 1.92-2.04
Ru3 0.3333 0.6667 0.3320  6 O 1.92-2.04
Ru4 0.6667 0.3333 0.6680  6 O 1.92-2.04
Ba1 0.6667 0.3333 0.3931  9 O 2.78-2.97
Ba2 0.3333 0.6667 0.8931  9 O 2.78-2.97
Ba3 0.3333 0.6667 0.6069  9 O 2.78-2.97
Ba4 0.0000 0.0000 0.2500  12 O 2.94-2.96
Ba5 0.0000 0.0000 0.7500  12 O 2.94-2.96
Ba6 0.6667 0.3333 0.1069  9 O 2.78-2.97

[3]
BaLaZnRuO6 | SCAN | PBEsol geometry

Summary:
theoretical density	7.1	g/cm3
DFT total energy	-191.96	eV per cell
space-group type	Cm
total magnetization	0.3000	μB per atom

Unit cell a=5.6104 b=5.6105 c=5.6401 alpha=90.62 beta=119.36 gamma=119.76
Closest atoms and distances in Å follow each position.
Fractional positions:
Zn1 0.9967 0.0027 0.9995  6 O 2.07-2.10
O1 0.0445 0.7428 0.7857  1 Ru 1.93, 1 Zn 2.08
O2 0.4852 0.6915 0.7172  1 Ru 1.96, 1 Zn 2.07
O3 0.0256 0.2323 0.7175  1 Ru 1.96, 1 Zn 2.07
O4 0.9126 0.2585 0.1717  1 Ru 1.98, 1 Zn 2.08
O5 0.0330 0.7938 0.3105  1 Ru 1.96, 1 Zn 2.10
O6 0.5168 0.2777 0.3112  1 Ru 1.96, 1 Zn 2.10
Ru1 0.0004 0.5007 0.5011  6 O 1.93-1.98
Ba1 0.4990 0.7497 0.2488  7 O 2.59-2.86
La1 0.4861 0.2504 0.7370  5 O 2.42-2.49

[4]
BaLa2Sc2O7 | SCAN | PBEsol geometry

Summary:
theoretical density	5.9	g/cm3
DFT total energy	-970.35	eV per cell
space-group type	P4_2/mnm
total magnetization	0.0000	μB per atom

Unit cell a=5.8001 b=5.8001 c=20.5042 alpha=90.00 beta=90.00 gamma=90.00
Closest atoms and distances in Å follow each position.
Fractional positions:
La1 0.7715 0.2285 0.3161  6 O 2.31-2.55
La2 0.7285 0.7285 0.1839  6 O 2.31-2.55
La3 0.2715 0.2715 0.8161  6 O 2.31-2.55
La4 0.7285 0.7285 0.8161  6 O 2.31-2.55
La5 0.2285 0.7715 0.3161  6 O 2.31-2.55
La6 0.2715 0.2715 0.1839  6 O 2.31-2.55
La7 0.7715 0.2285 0.6839  6 O 2.31-2.55
La8 0.2285 0.7715 0.6839  6 O 2.31-2.55
O1 0.0000 0.5000 0.1108  2 Sc 2.06
O2 0.5000 0.0000 0.1108  2 Sc 2.06
O3 0.0000 0.0000 0.8742  2 Sc 2.07
O4 0.5000 0.5000 0.9059  2 Sc 2.11
O5 0.0000 0.5000 0.8892  2 Sc 2.06
O6 0.1917 0.1917 0.7082  1 Sc 2.29, 3 La 2.31-2.50
O7 0.5000 0.5000 0.6258  2 Sc 2.07
O8 0.8083 0.8083 0.7082  1 Sc 2.29, 3 La 2.31-2.50
O9 0.5000 0.0000 0.8892  2 Sc 2.06
O10 0.5000 0.0000 0.3892  2 Sc 2.06
O11 0.6917 0.3083 0.2082  1 Sc 2.29, 3 La 2.31-2.50
O12 0.5000 0.5000 0.3742  2 Sc 2.07
O13 0.7826 0.2174 0.0000  2 Sc 2.06
O14 0.6917 0.3083 0.7918  1 Sc 2.29, 3 La 2.31-2.50
O15 0.7174 0.7174 0.5000  2 Sc 2.06
O16 0.0000 0.0000 0.4059  2 Sc 2.11
O17 0.0000 0.0000 0.5941  2 Sc 2.11
O18 0.2826 0.2826 0.5000  2 Sc 2.06
O19 0.3083 0.6917 0.7918  1 Sc 2.29, 3 La 2.31-2.50
O20 0.0000 0.0000 0.1258  2 Sc 2.07
O21 0.5000 0.0000 0.6108  2 Sc 2.06
O22 0.1917 0.1917 0.2918  1 Sc 2.29, 3 La 2.31-2.50
O23 0.3083 0.6917 0.2082  1 Sc 2.29, 3 La 2.31-2.50
O24 0.0000 0.5000 0.6108  2 Sc 2.06
O25 0.5000 0.5000 0.0941  2 Sc 2.11
O26 0.8083 0.8083 0.2918  1 Sc 2.29, 3 La 2.31-2.50
O27 0.2174 0.7826 0.0000  2 Sc 2.06
O28 0.0000 0.5000 0.3892  2 Sc 2.06
Sc1 0.2435 0.7565 0.9002  6 O 2.06-2.29
Sc2 0.2565 0.2565 0.5998  6 O 2.06-2.29
Sc3 0.7565 0.2435 0.0998  6 O 2.06-2.29
Sc4 0.7435 0.7435 0.5998  6 O 2.06-2.29
Sc5 0.2435 0.7565 0.0998  6 O 2.06-2.29
Sc6 0.7435 0.7435 0.4002  6 O 2.06-2.29
Sc7 0.7565 0.2435 0.9002  6 O 2.06-2.29
Sc8 0.2565 0.2565 0.4002  6 O 2.06-2.29
Ba1 0.2413 0.7587 0.5000  10 O 2.76-3.06
Ba2 0.2587 0.2587 0.0000  10 O 2.76-3.06
Ba3 0.7413 0.7413 0.0000  10 O 2.76-3.06
Ba4 0.7587 0.2413 0.5000  10 O 2.76-3.06

> theoretical density of number 3 (BaLaZnRuO6)?

7.1 g/cm3

> Look up the theoretical density of the second one.

6.6 g/cm3

What did the fourth record say?
BaLa2Sc2O7 | SCAN | PBEsol geometry

Summary:
theoretical density	5.9	g/cm3
DFT total energy	-970.35	eV per cell
space-group type	P4_2/mnm
total magnetization	0.0000	μB per atom

Unit cell a=5.8001 b=5.8001 c=20.5042 alpha=90.00 beta=90.00 gamma=90.00
Closest atoms and distances in Å follow each position.
Fractional positions:
La1 0.7715 0.2285 0.3161  6 O 2.31-2.55
La2 0.7285 0.7285 0.1839  6 O 2.31-2.55
La3 0.2715 0.2715 0.8161  6 O 2.31-2.55
La4 0.7285 0.7285 0.8161  6 O 2.31-2.55
La5 0.2285 0.7715 0.3161  6 O 2.31-2.55
La6 0.2715 0.2715 0.1839  6 O 2.31-2.55
La7 0.7715 0.2285 0.6839  6 O 2.31-2.55
La8 0.2285 0.7715 0.6839  6 O 2.31-2.55
O1 0.0000 0.5000 0.1108  2 Sc 2.06
O2 0.5000 0.0000 0.1108  2 Sc 2.06
O3 0.0000 0.0000 0.8742  2 Sc 2.07
O4 0.5000 0.5000 0.9059  2 Sc 2.11
O5 0.0000 0.5000 0.8892  2 Sc 2.06
O6 0.1917 0.1917 0.7082  1 Sc 2.29, 3 La 2.31-2.50
O7 0.5000 0.5000 0.6258  2 Sc 2.07
O8 0.8083 0.8083 0.7082  1 Sc 2.29, 3 La 2.31-2.50
O9 0.5000 0.0000 0.8892  2 Sc 2.06
O10 0.5000 0.0000 0.3892  2 Sc 2.06
O11 0.6917 0.3083 0.2082  1 Sc 2.29, 3 La 2.31-2.50
O12 0.5000 0.5000 0.3742  2 Sc 2.07
O13 0.7826 0.2174 0.0000  2 Sc 2.06
O14 0.6917 0.3083 0.7918  1 Sc 2.29, 3 La 2.31-2.50
O15 0.7174 0.7174 0.5000  2 Sc 2.06
O16 0.0000 0.0000 0.4059  2 Sc 2.11
O17 0.0000 0.0000 0.5941  2 Sc 2.11
O18 0.2826 0.2826 0.5000  2 Sc 2.06
O19 0.3083 0.6917 0.7918  1 Sc 2.29, 3 La 2.31-2.50
O20 0.0000 0.0000 0.1258  2 Sc 2.07
O21 0.5000 0.0000 0.6108  2 Sc 2.06
O22 0.1917 0.1917 0.2918  1 Sc 2.29, 3 La 2.31-2.50
O23 0.3083 0.6917 0.2082  1 Sc 2.29, 3 La 2.31-2.50
O24 0.0000 0.5000 0.6108  2 Sc 2.06
O25 0.5000 0.5000 0.0941  2 Sc 2.11
O26 0.8083 0.8083 0.2918  1 Sc 2.29, 3 La 2.31-2.50
O27 0.2174 0.7826 0.0000  2 Sc 2.06
O28 0.0000 0.5000 0.3892  2 Sc 2.06
Sc1 0.2435 0.7565 0.9002  6 O 2.06-2.29
Sc2 0.2565 0.2565 0.5998  6 O 2.06-2.29
Sc3 0.7565 0.2435 0.0998  6 O 2.06-2.29
Sc4 0.7435 0.7435 0.5998  6 O 2.06-2.29
Sc5 0.2435 0.7565 0.0998  6 O 2.06-2.29
Sc6 0.7435 0.7435 0.4002  6 O 2.06-2.29
Sc7 0.7565 0.2435 0.9002  6 O 2.06-2.29
Sc8 0.2565 0.2565 0.4002  6 O 2.06-2.29
Ba1 0.2413 0.7587 0.5000  10 O 2.76-3.06
Ba2 0.2587 0.2587 0.0000  10 O 2.76-3.06
Ba3 0.7413 0.7413 0.0000  10 O 2.76-3.06
Ba4 0.7587 0.2413 0.5000  10 O 2.76-3.06